Entry 1:
The following is a GGA-PBE calculation of an optimized crystal structure of LaSb2TePt, from Alexandria.

Properties
The symmetry is P4/mmm (123). For the offset from the most stable computed form, the calculation gives 1.3710 eV per atom.

Lattice parameters (Å, degrees): 6.038 6.038 5.933 90.00 90.00 90.00
Positions (direct):
La 0.000 0.000 0.000
Sb 0.000 0.500 0.000
Sb 0.500 0.000 0.000
Te 0.000 0.000 0.500
Pt 0.500 0.500 0.500

Entry 2:
The following is a GGA-PBE calculation of an optimized crystal structure of LaSbTe2Pt, from Alexandria.

Properties
The symmetry is P4/mmm (123). For the offset from the most stable computed form, the calculation gives 1.2984 eV per atom.

Lattice parameters (Å, degrees): 6.001 6.001 6.135 90.00 90.00 90.00
Positions (direct):
La 0.000 0.000 0.000
Sb 0.000 0.000 0.500
Te 0.000 0.500 0.000
Te 0.500 0.000 0.000
Pt 0.500 0.500 0.500

Entry 3:
The following is a GGA-PBE calculation of an optimized crystal structure of La2USb3Pt4, from Alexandria.

Properties
The symmetry is P-4m2 (115).

Lattice parameters (Å, degrees): 4.606 4.606 11.296 90.00 90.00 90.00
Positions (direct):
La 0.000 0.500 0.218
La 0.500 0.000 0.782
U 0.000 0.000 0.500
Sb 0.000 0.500 0.874
Sb 0.500 0.000 0.126
Sb 0.500 0.500 0.500
Pt 0.000 0.000 0.000
Pt 0.000 0.500 0.643
Pt 0.500 0.000 0.357
Pt 0.500 0.500 0.000

Entry 4:
The following is a GGA-PBE calculation of an optimized crystal structure of La2YSb3Pt4, from Alexandria.

Properties
The symmetry is P-4m2 (115).

Lattice parameters (Å, degrees): 4.575 4.575 11.410 90.00 90.00 90.00
Positions (direct):
La 0.000 0.500 0.216
La 0.500 0.000 0.784
Y 0.000 0.000 0.500
Sb 0.000 0.500 0.872
Sb 0.500 0.000 0.128
Sb 0.500 0.500 0.500
Pt 0.000 0.000 0.000
Pt 0.000 0.500 0.643
Pt 0.500 0.000 0.357
Pt 0.500 0.500 0.000

Summary of D(E_F) in states/eV/cell
6.93, 8.60, 8.66, 3.24
(order as listed above)
Summary of size of the total moment in μB per formula unit
0.000, 0.000, 2.841, 0.000
(order as listed above)
Summary of raw formation energy in meV/atom
1021, 842, -824, -998
(order as listed above)